1.
Here is Cr3N2 after structural relaxation from Alexandria via LeMat-Bulk. Energies are from GGA-PBE.

```
Cr3N2
1.0
-2.990 -5.311 -0.780
-2.918 -4.400 3.143
1.221 5.861 -1.382
Cr N
3 2
Cartesian
0.000 0.000 0.000
-3.857 -6.340 1.543
-2.051 -3.371 0.820
-4.917 -8.082 1.966
-0.991 -1.629 0.396
```

Computed properties:
- E_tot (eV per atom) = -9.4635
- formation energy (no corrections) (eV/atom) = -0.359
- energy relative to the lowest polymorph listed for this composition (eV per atom) = 0.0651

***

2.
Here is Cr3N2 after structural relaxation from Alexandria via LeMat-Bulk. Energies are from GGA-PBE.

```
Cr3N2
1.0
-3.551 2.890 -0.076
0.197 -3.464 -2.989
-1.292 -1.543 1.704
Cr N
3 2
Cartesian
0.129 -2.273 -1.961
-2.330 1.896 -0.050
-1.154 -0.197 -1.054
-2.948 0.000 -0.195
-1.699 -2.118 -1.166
```

Computed properties:
- E_tot (eV per atom) = -9.3268
- formation energy (no corrections) (eV/atom) = -0.223
- energy relative to the lowest polymorph listed for this composition (eV per atom) = 0.2018

***

3.
Here is NaCrN after structural relaxation from Alexandria via LeMat-Bulk. Energies are from GGA-PBE.

```
NaCrN
1.0
3.222 0.000 0.000
0.000 3.222 0.000
0.000 0.000 8.871
Cr N Na
2 2 2
Cartesian
0.000 0.000 4.435
1.611 1.611 4.435
0.000 1.611 3.193
1.611 0.000 5.678
0.000 1.611 7.086
1.611 0.000 1.785
```

Computed properties:
- E_tot (eV per atom) = -6.5828
- formation energy (no corrections) (eV/atom) = -0.160
- energy relative to the lowest polymorph listed for this composition (eV per atom) = 0.0190

***

4.
Here is NaCrN after structural relaxation from Alexandria via LeMat-Bulk. Energies are from GGA-PBE.

```
NaCrN
1.0
-0.053 2.105 -2.290
-2.265 -0.036 2.133
5.505 6.616 5.956
Na Cr N
2 2 2
Cartesian
3.393 6.420 3.711
-0.096 2.398 2.207
2.850 3.425 3.084
0.097 0.117 0.105
1.594 4.429 4.036
-0.421 1.835 -0.417
```

Computed properties:
- E_tot (eV per atom) = -6.6019
- formation energy (no corrections) (eV/atom) = -0.179
- energy relative to the lowest polymorph listed for this composition (eV per atom) = 0.0000

***

5.
Here is Na3CrN2 after structural relaxation from Alexandria via LeMat-Bulk. Energies are from GGA-PBE.

```
Na3CrN2
1.0
-4.851 -2.821 0.135
2.297 -1.752 -4.813
2.797 -4.664 3.033
Na Cr N
6 2 4
Cartesian
0.222 -6.856 -1.160
0.020 -2.382 -0.485
1.624 -4.394 -1.863
0.226 -2.062 -3.379
-1.382 -4.843 0.218
-2.780 -2.511 -1.299
-1.499 -5.101 -3.267
1.741 -4.136 1.622
-0.877 -3.989 -2.129
1.120 -5.249 0.484
1.398 -2.332 1.516
0.000 0.000 0.000
```

Computed properties:
- E_tot (eV per atom) = -5.2461
- formation energy (no corrections) (eV/atom) = -0.208

***

6.
Here is NaCr3N after structural relaxation from Alexandria via LeMat-Bulk. Energies are from GGA-PBE.

```
NaCr3N
1.0
4.280 0.000 0.000
0.000 4.280 0.000
0.000 0.000 4.280
Cr N Na
3 1 1
Cartesian
0.000 2.140 0.000
0.000 0.000 2.140
2.140 0.000 0.000
2.140 2.140 2.140
0.000 0.000 0.000
```

Computed properties:
- E_tot (eV per atom) = -4.0107
- formation energy (no corrections) (eV/atom) = 3.692
- energy relative to the lowest polymorph listed for this composition (eV per atom) = 3.2507